#i
The following is a PBE calculation of a geometry-optimized DyPu3P4 structure, from the Alexandria database.

Calculated values
theoretical density	9.37	g cm⁻³

abc: 5.6515 5.6515 5.6515
angles: 90.00 90.00 90.00
Space group Pm-3m (No. 221)
Asymmetric unit:
Dy 0.0000 0.0000 0.0000 [1 per cell]
Pu 0.0000 0.5000 0.5000 [3 per cell]
P 0.0000 0.0000 0.5000 [3 per cell]
P 0.5000 0.5000 0.5000 [1 per cell]

---

#ii
The following is a PBE calculation of a geometry-optimized DyPu3P4 structure, from the Alexandria database.

Calculated values
theoretical density	9.42	g cm⁻³

abc: 7.9622 11.2843 3.9955
angles: 90.00 90.00 90.00
Space group Cmmm (No. 65)
Asymmetric unit:
Dy 0.0000 0.0000 0.0000 [2 per cell]
Pu 0.0000 0.5000 0.0000 [2 per cell]
Pu 0.2500 0.2500 0.5000 [4 per cell]
P 0.0000 0.2503 0.0000 [4 per cell]
P 0.2469 0.5000 0.5000 [4 per cell]

---

Looking at the structures above, which would you pick as the most stable? I would pick #i.